No. 1
# AgS2N2

AgS2N2 after structural relaxation (PBE, Alexandria).

Cell: 4.153 4.153 3.902 Å, 90.00 90.00 90.00°
Last column: magnetic moment on the atom in μB.
Positions (direct):
1 S 0.000 0.500 0.000  0.19
2 S 0.500 0.000 0.000  0.19
3 Ag 0.500 0.500 0.500  0.10
4 N 0.000 0.000 0.000  -0.11
5 N 0.000 0.000 0.500  1.15

Values from the calculation:
- E above lowest polymorph (eV/atom) = 0.401
- space-group type = P4/mmm (123)
- V (Å³/atom) = 13.5
- uncorrected energy (eV per atom) = -3.776
- magnetization (μB/f.u.) = 2.07

***

No. 2
# FeTcW2

FeTcW2 after structural relaxation (PBE, Alexandria).

Cell: 3.154 4.316 4.316 Å, 90.00 90.00 90.00°
Last column: magnetic moment on the atom in μB.
Positions (direct):
1 Fe 0.500 0.500 0.000  2.09
2 Tc 0.500 0.000 0.500  0.02
3 W 0.000 0.000 0.000  0.10
4 W 0.000 0.500 0.500  0.10

Values from the calculation:
- E above lowest polymorph (eV/atom) = 0.028
- space-group type = P4/mmm (123)
- V (Å³/atom) = 14.7
- formation energy (eV/atom) = 0.131
- uncorrected energy (eV per atom) = -11.052
- magnetization (μB/f.u.) = 2.34

***

No. 3
# Tm2Re3Ge4

Tm2Re3Ge4 after structural relaxation (PBE, Alexandria).

Cell: 5.417 5.417 7.043 Å, 100.98 100.98 120.32°
Positions (direct):
1 Tm 0.634 0.634 0.269
2 Tm 0.366 0.366 0.731
3 Re 0.500 0.000 0.000
4 Re 0.000 0.000 0.000
5 Re 0.000 0.500 0.000
6 Ge 0.998 0.675 0.672
7 Ge 0.675 0.998 0.672
8 Ge 0.002 0.325 0.328
9 Ge 0.325 0.002 0.328

Values from the calculation:
- space-group type = Fmmm (69)
- V (Å³/atom) = 18.3
- formation energy (eV/atom) = -0.289
- uncorrected energy (eV per atom) = -7.484
- magnetization (μB/f.u.) = 0.00

***

No. 4
# KTl2CuAu

KTl2CuAu after structural relaxation (PBE, Alexandria).

Cell: 6.325 5.269 6.325 Å, 90.00 90.00 90.00°
Positions (direct):
1 Tl 0.000 0.000 0.500
2 Tl 0.500 0.000 0.000
3 Au 0.500 0.500 0.500
4 K 0.000 0.000 0.000
5 Cu 0.000 0.500 0.000

Values from the calculation:
- E above lowest polymorph (eV/atom) = 0.958
- space-group type = P4/mmm (123)
- V (Å³/atom) = 42.2
- formation energy (eV/atom) = 0.996
- uncorrected energy (eV per atom) = -1.645
- magnetization (μB/f.u.) = 0.00

***

No. 5
# LiBi2I

LiBi2I after structural relaxation (PBE, Alexandria).

Cell: 5.553 5.553 5.553 Å, 60.00 60.00 60.00°
Positions (direct):
1 I 0.500 0.500 0.500
2 Bi 0.250 0.250 0.250
3 Bi 0.750 0.750 0.750
4 Li 0.000 0.000 0.000

Values from the calculation:
- E above lowest polymorph (eV/atom) = 0.457
- space-group type = Fm-3m (225)
- V (Å³/atom) = 30.3
- uncorrected energy (eV per atom) = -2.606
- magnetization (μB/f.u.) = 0.00

***

No. 6
# BeTl2PdRh

BeTl2PdRh after structural relaxation (PBE, Alexandria).

Cell: 5.211 5.211 4.978 Å, 90.00 90.00 90.00°
Last column: magnetic moment on the atom in μB.
Positions (direct):
1 Be 0.500 0.500 0.500  -0.01
2 Tl 0.000 0.500 0.000  0.00
3 Tl 0.500 0.000 0.000  0.00
4 Rh 0.000 0.000 0.500  0.96
5 Pd 0.000 0.000 0.000  0.21

Values from the calculation:
- space-group type = P4/mmm (123)
- V (Å³/atom) = 27.0
- formation energy (eV/atom) = 1.088
- uncorrected energy (eV per atom) = -3.113
- magnetization (μB/f.u.) = 1.16

***

> Which of these has the lowest V?

AgS2N2

***

> Among the records above, which one has the highest V?

KTl2CuAu

***

Copy entry 3 word for word.
# Tm2Re3Ge4

Tm2Re3Ge4 after structural relaxation (PBE, Alexandria).

Cell: 5.417 5.417 7.043 Å, 100.98 100.98 120.32°
Positions (direct):
1 Tm 0.634 0.634 0.269
2 Tm 0.366 0.366 0.731
3 Re 0.500 0.000 0.000
4 Re 0.000 0.000 0.000
5 Re 0.000 0.500 0.000
6 Ge 0.998 0.675 0.672
7 Ge 0.675 0.998 0.672
8 Ge 0.002 0.325 0.328
9 Ge 0.325 0.002 0.328

Values from the calculation:
- space-group type = Fmmm (69)
- V (Å³/atom) = 18.3
- formation energy (eV/atom) = -0.289
- uncorrected energy (eV per atom) = -7.484
- magnetization (μB/f.u.) = 0.00

***

> Which of these has the highest magnetization?

FeTcW2